The following is a DFT calculation (GGA-PBE) of a relaxed structure of PaNi6Rh.

Computed properties:
M_tot: 0.0 μB per cell
E_form: -0.108 eV per atom
uncorrected energy: -6.55 eV/atom

a b c (Å): 4.7299 4.7299 4.7299
angles (deg): 90.00 90.00 90.00
Space group Pm-3 (No. 200)
Asymmetric unit:
Pa  0.0000  0.0000  0.0000 (multiplicity 1)
Ni  0.0000  0.2567  0.5000 (multiplicity 6)
Rh  0.5000  0.5000  0.5000 (multiplicity 1)